(one)
## Tm2FeSe (PBE)

Data for a relaxed structure of Tm2FeSe.

Computed properties:
* crystal system: trigonal

Cell: 8.9696 8.9696 8.9696 Å, 23.13 23.13 23.13°
Element x y z (fractional)
Tm 0.0945 0.0945 0.0945
Tm 0.9055 0.9055 0.9055
Fe 0.0000 0.0000 0.0000
Se 0.5000 0.5000 0.5000

(two)
## Tm2FeSe (PBE)

Data for a relaxed structure of Tm2FeSe.

Computed properties:
* crystal system: tetragonal

Cell: 3.4503 3.4503 6.8160 Å, 90.00 90.00 90.00°
Element x y z (fractional)
Tm 0.0000 0.0000 0.2324
Tm 0.0000 0.0000 0.7676
Fe 0.5000 0.5000 0.0000
Se 0.5000 0.5000 0.5000

Quick one: most stable of them? (two)

(one)
## VFeSe2 (PBE)

Data for a relaxed structure of VFeSe2.

Computed properties:
* crystal system: monoclinic

Cell: 3.6942 3.7026 6.4853 Å, 90.00 90.21 90.00°
Element x y z (fractional)
V 0.0000 0.0000 0.0000
Fe 0.5001 0.5000 0.0009
Se 0.5016 0.0000 0.2491
Se 0.9983 0.5000 0.7518

(two)
## VFeSe2 (PBE)

Data for a relaxed structure of VFeSe2.

Computed properties:
* crystal system: trigonal

Cell: 8.2045 8.2045 8.2045 Å, 22.63 22.63 22.63°
Element x y z (fractional)
V 0.0000 0.0000 0.0000
Fe 0.5000 0.5000 0.5000
Se 0.4015 0.4015 0.4015
Se 0.5985 0.5985 0.5985

Quick one: most stable of them? (one)

(one)
## VFeSe2 (PBE)

Data for a relaxed structure of VFeSe2.

Computed properties:
* crystal system: cubic

Cell: 4.4664 4.4664 4.4664 Å, 60.00 60.00 60.00°
Element x y z (fractional)
V 0.0000 0.0000 0.0000
Fe 0.5000 0.5000 0.5000
Se 0.2500 0.2500 0.2500
Se 0.7500 0.7500 0.7500

(two)
## VFeSe2 (PBE)

Data for a relaxed structure of VFeSe2.

Computed properties:
* crystal system: trigonal

Cell: 8.0253 8.0253 8.0253 Å, 24.17 24.17 24.17°
Element x y z (fractional)
V 0.0000 0.0000 0.0000
Fe 0.5000 0.5000 0.5000
Se 0.1062 0.1062 0.1062
Se 0.8938 0.8938 0.8938

(three)
## VFeSe2 (PBE)

Data for a relaxed structure of VFeSe2.

Computed properties:
* crystal system: tetragonal

Cell: 6.9315 6.9315 6.9315 Å, 132.70 132.70 69.13°
Element x y z (fractional)
V 0.0000 0.0000 0.0000
V 0.7500 0.2500 0.5000
Fe 0.2500 0.7500 0.5000
Fe 0.5000 0.5000 0.0000
Se 0.1327 0.6250 0.0077
Se 0.3750 0.3827 0.5077
Se 0.6173 0.1250 0.9923
Se 0.8750 0.8673 0.4923

Quick one: most stable of them? (three)

(one)
## VFeSe (PBE)

Data for a relaxed structure of VFeSe.

Computed properties:
* crystal system: orthorhombic

Cell: 9.8361 9.8361 3.8508 Å, 90.00 90.00 164.12°
Element x y z (fractional)
V 0.0385 0.9615 0.7500
V 0.9615 0.0385 0.2500
Fe 0.4133 0.5867 0.7500
Fe 0.5867 0.4133 0.2500
Se 0.1639 0.8361 0.7500
Se 0.8361 0.1639 0.2500

(two)
## VFeSe (PBE)

Data for a relaxed structure of VFeSe.

Computed properties:
* crystal system: cubic

Cell: 3.9365 3.9365 3.9365 Å, 60.00 60.00 60.00°
Element x y z (fractional)
V 0.0000 0.0000 0.0000
Fe 0.7500 0.7500 0.7500
Se 0.5000 0.5000 0.5000

Quick one: most stable of them? (two)

(one)
## V2FeSe4 (PBE)

Data for a relaxed structure of V2FeSe4.

Computed properties:
* crystal system: monoclinic

Cell: 6.7640 6.7640 6.1549 Å, 115.19 115.19 28.66°
Element x y z (fractional)
V 0.2439 0.2439 0.1827
V 0.7561 0.7561 0.8173
Fe 0.5000 0.5000 0.5000
Se 0.1395 0.1395 0.4758
Se 0.3961 0.3961 0.0572
Se 0.6039 0.6039 0.9428
Se 0.8605 0.8605 0.5242

(two)
## V2FeSe4 (PBE)

Data for a relaxed structure of V2FeSe4.

Computed properties:
* crystal system: monoclinic

Cell: 6.9054 6.9054 6.3059 Å, 116.74 116.74 28.61°
Element x y z (fractional)
V 0.0000 0.0000 0.0000
V 0.7467 0.7467 0.6891
Fe 0.2481 0.2481 0.3297
Se 0.1058 0.1058 0.4593
Se 0.3609 0.3609 0.0226
Se 0.6400 0.6400 0.9876
Se 0.8867 0.8867 0.5483

Quick one: most stable of them? (one)

(one)
## VFeSe3 (PBE)

Data for a relaxed structure of VFeSe3.

Computed properties:
* crystal system: cubic

Cell: 4.8154 4.8154 4.8154 Å, 90.00 90.00 90.00°
Element x y z (fractional)
V 0.0000 0.0000 0.0000
Fe 0.5000 0.5000 0.5000
Se 0.0000 0.0000 0.5000
Se 0.0000 0.5000 0.0000
Se 0.5000 0.0000 0.0000

(two)
## VFeSe3 (PBE)

Data for a relaxed structure of VFeSe3.

Computed properties:
* crystal system: orthorhombic

Cell: 3.4004 11.6231 11.6231 Å, 150.86 90.00 90.00°
Element x y z (fractional)
V 0.2500 0.1725 0.8275
V 0.7500 0.8275 0.1725
Fe 0.2500 0.1962 0.4647
Fe 0.7500 0.4647 0.1962
Se 0.2500 0.2605 0.1121
Se 0.2500 0.5920 0.8572
Se 0.2500 0.9752 0.4396
Se 0.7500 0.1121 0.2605
Se 0.7500 0.4396 0.9752
Se 0.7500 0.8572 0.5920

(three)
## VFeSe3 (PBE)

Data for a relaxed structure of VFeSe3.

Computed properties:
* crystal system: monoclinic

Cell: 6.7382 3.3788 9.2635 Å, 90.00 110.40 90.00°
Element x y z (fractional)
V 0.2079 0.2500 0.4745
V 0.7921 0.7500 0.5255
Fe 0.4282 0.2500 0.8114
Fe 0.5718 0.7500 0.1886
Se 0.0576 0.2500 0.6827
Se 0.3513 0.2500 0.0468
Se 0.3997 0.7500 0.3657
Se 0.6003 0.2500 0.6343
Se 0.6487 0.7500 0.9532
Se 0.9424 0.7500 0.3173

Quick one: most stable of them? (two)

(one)
## FeWSe2 (PBE)

Data for a relaxed structure of FeWSe2.

Computed properties:
* crystal system: trigonal

Cell: 7.7767 7.7767 7.7767 Å, 23.43 23.43 23.43°
Element x y z (fractional)
Fe 0.0000 0.0000 0.0000
W 0.5000 0.5000 0.5000
Se 0.2496 0.2496 0.2496
Se 0.7504 0.7504 0.7504

(two)
## FeWSe2 (PBE)

Data for a relaxed structure of FeWSe2.

Computed properties:
* crystal system: tetragonal

Cell: 3.1464 3.1464 6.2262 Å, 90.00 90.00 90.00°
Element x y z (fractional)
Fe 0.0000 0.0000 0.0000
W 0.0000 0.0000 0.5000
Se 0.5000 0.5000 0.2518
Se 0.5000 0.5000 0.7482

Quick one: most stable of them? (one)

(one)
## FeWSe2 (PBE)

Data for a relaxed structure of FeWSe2.

Computed properties:
* crystal system: orthorhombic

Cell: 3.1620 3.1620 8.0313 Å, 90.00 90.00 120.77°
Element x y z (fractional)
Fe 0.0000 0.0000 0.0000
W 0.0000 0.0000 0.5000
Se 0.5000 0.5000 0.2453
Se 0.5000 0.5000 0.7547

(two)
## FeWSe2 (PBE)

Data for a relaxed structure of FeWSe2.

Computed properties:
* crystal system: orthorhombic

Cell: 7.3818 7.3818 7.3818 Å, 153.51 149.93 40.49°
Element x y z (fractional)
Fe 0.0000 0.0000 0.0000
W 0.5000 0.5000 0.0000
Se 0.1259 0.6259 0.5000
Se 0.8741 0.3741 0.5000

(three)
## FeWSe2 (PBE)

Data for a relaxed structure of FeWSe2.

Computed properties:
* crystal system: monoclinic

Cell: 4.5834 4.5834 6.4916 Å, 96.63 96.63 42.70°
Element x y z (fractional)
Fe 0.0000 0.0000 0.0000
W 0.7203 0.7203 0.0856
Se 0.2092 0.2092 0.7923
Se 0.4466 0.4466 0.2658

Quick one: most stable of them? (two)

(one)
## FeWSe2 (PBE)

Data for a relaxed structure of FeWSe2.

Computed properties:
* crystal system: monoclinic

Cell: 4.9821 4.9821 3.1201 Å, 90.07 90.07 103.53°
Element x y z (fractional)
Fe 0.0000 0.0000 0.0000
W 0.5000 0.5000 0.0000
Se 0.0000 0.5000 0.0000
Se 0.5000 0.0000 0.0000

(two)
## FeWSe2 (PBE)

Data for a relaxed structure of FeWSe2.

Computed properties:
* crystal system: monoclinic

Cell: 4.3360 4.3360 5.2359 Å, 97.82 97.82 42.93°
Element x y z (fractional)
Fe 0.0000 0.0000 0.0000
W 0.5000 0.5000 0.5000
Se 0.2227 0.2227 0.7379
Se 0.7773 0.7773 0.2621

(three)
## FeWSe2 (PBE)

Data for a relaxed structure of FeWSe2.

Computed properties:
* crystal system: cubic

Cell: 4.3745 4.3745 4.3745 Å, 60.00 60.00 60.00°
Element x y z (fractional)
Fe 0.0000 0.0000 0.0000
W 0.5000 0.5000 0.5000
Se 0.2500 0.2500 0.2500
Se 0.7500 0.7500 0.7500

(four)
## FeWSe2 (PBE)

Data for a relaxed structure of FeWSe2.

Computed properties:
* crystal system: orthorhombic

Cell: 3.6461 3.7414 6.6027 Å, 90.00 90.00 90.00°
Element x y z (fractional)
Fe 0.0000 0.0000 0.0000
W 0.5000 0.5000 0.0047
Se 0.0000 0.5000 0.7441
Se 0.5000 0.0000 0.2594

Quick one: most stable of them? (four)

(one)
## Fe2W2Se (PBE)

Data for a relaxed structure of Fe2W2Se.

Computed properties:
* crystal system: tetragonal

Cell: 5.7407 5.7407 5.7407 Å, 138.94 138.94 59.47°
Element x y z (fractional)
Fe 0.1157 0.1157 0.0000
Fe 0.8843 0.8843 0.0000
W 0.2500 0.7500 0.5000
W 0.7500 0.2500 0.5000
Se 0.5000 0.5000 0.0000

(two)
## Fe2W2Se (PBE)

Data for a relaxed structure of Fe2W2Se.

Computed properties:
* crystal system: tetragonal

Cell: 7.2731 7.2731 2.7791 Å, 90.00 90.00 90.00°
Element x y z (fractional)
Fe 0.1370 0.3630 0.0000
Fe 0.3630 0.8630 0.0000
Fe 0.6370 0.1370 0.0000
Fe 0.8630 0.6370 0.0000
W 0.1503 0.6503 0.5000
W 0.3497 0.1503 0.5000
W 0.6503 0.8497 0.5000
W 0.8497 0.3497 0.5000
Se 0.0000 0.0000 0.0000
Se 0.5000 0.5000 0.0000

Quick one: most stable of them? (two)

(one)
## Fe3WSe (PBE)

Data for a relaxed structure of Fe3WSe.

Computed properties:
* crystal system: cubic

Cell: 4.2601 4.2601 4.2601 Å, 90.00 90.00 90.00°
Element x y z (fractional)
Fe 0.0000 0.0000 0.5000
Fe 0.0000 0.5000 0.0000
Fe 0.5000 0.0000 0.0000
W 0.5000 0.5000 0.5000
Se 0.0000 0.0000 0.0000

(two)
## Fe3WSe (PBE)

Data for a relaxed structure of Fe3WSe.

Computed properties:
* crystal system: cubic

Cell: 4.5500 4.5500 4.5500 Å, 90.00 90.00 90.00°
Element x y z (fractional)
Fe 0.0000 0.0000 0.5000
Fe 0.0000 0.5000 0.0000
Fe 0.5000 0.0000 0.0000
W 0.0000 0.0000 0.0000
Se 0.5000 0.5000 0.5000

Quick one: most stable of them? (one)